# ScGe2Pb3O9 | the Alexandria database | GGA-PBE | relaxed
# **ΔE_f (raw)**: -1.60 eV/atom
# **Calculated total energy**: -95.25 eV/cell
# **Calculated density**: 8.5 g/cm³
data_ScGe2Pb3O9
_cell_length_a 5.6024
_cell_length_b 5.6024
_cell_length_c 6.8942
_cell_angle_alpha 90.00
_cell_angle_beta 90.00
_cell_angle_gamma 120.00
_space_group_name_H-M_alt 'P -3 m 1'
_space_group_IT_number 164
_space_group_name_Hall '-P 3 2"'
loop_
_atom_site_label
_atom_site_type_symbol
_atom_site_fract_x
_atom_site_fract_y
_atom_site_fract_z
Sc1 Sc 0.0000 0.0000 0.0000
Ge1 Ge 0.3333 0.6667 0.6704
Pb1 Pb 0.0000 0.0000 0.5000
Pb2 Pb 0.3333 0.6667 0.1794
O1 O 0.0000 0.5000 0.5000
O2 O 0.1728 0.3456 0.8196